1.
A relaxed CsNp4Au3S12 crystal, computed with PBE-GGA.

```
CsNp4Au3S12
1.0
-6.6820 -4.1577 3.4522
7.2879 -2.8272 3.5703
-0.8153 8.4320 1.4460
Cs Np Au S
1 4 3 12
Direct
0.0000 0.0000 0.0000
0.5000 0.0000 0.0000
0.5000 0.5000 0.5000
0.0000 0.5000 0.0000
0.0000 0.0000 0.5000
0.0000 0.5000 0.5000
0.5000 0.5000 0.0000
0.5000 0.0000 0.5000
0.3193 0.8304 0.1497
0.6807 0.1696 0.8503
0.6807 0.8304 0.5111
0.8503 0.6807 0.1696
0.8304 0.1497 0.3193
0.1696 0.4889 0.3193
0.4889 0.3193 0.1696
0.1696 0.8503 0.6807
0.3193 0.1696 0.4889
0.1497 0.3193 0.8304
0.8304 0.5111 0.6807
0.5111 0.6807 0.8304
```

Calculated values
**SG**: Im-3, No. 204
**Uncorrected formation energy**: -72.02 kJ per mole of atoms
**N(E_F)**: 2.281 states/eV/atom

***

2.
A relaxed YSbAs2 crystal, computed with PBE-GGA.

```
YSbAs2
1.0
7.2683 -0.0086 -0.0053
6.1034 3.9467 -0.0053
6.1034 1.7975 3.5136
Y Sb As
1 1 2
Direct
0.7500 0.7500 0.7500
0.2500 0.2500 0.2500
0.0000 0.0000 0.0000
0.5000 0.5000 0.5000
```

Calculated values
**SG**: R-3m, No. 166
**Uncorrected formation energy**: -59.62 kJ per mole of atoms
**N(E_F)**: 0.033 states/eV/atom

***

Look up the N(E_F) of the second one.
0.033 states/eV/atom